Entry from Alexandria via LeMat-Bulk: Sr2ZrMoO6 after structural relaxation (PBE+U).

Results
V ... 13.9 A^3/atom
E_tot ... -7.6474 eV/atom
Spin magnetization ... 4.0 μB per cell

Geometry as CIF:
```
data_Sr2ZrMoO6
_symmetry_space_group_name_H-M 'P 1 21/c 1'
_symmetry_Int_Tables_number 14
_cell_length_a 5.763
_cell_length_b 5.797
_cell_length_c 10.112
_cell_angle_alpha 90.00
_cell_angle_beta 124.55
_cell_angle_gamma 90.00
loop_
_symmetry_equiv_pos_as_xyz
'x,y,z'
'-x,-y,-z'
'-x,y+1/2,-z+1/2'
'x,-y+1/2,z+1/2'
loop_
_atom_site_label
_atom_site_type_symbol
_atom_site_fract_x
_atom_site_fract_y
_atom_site_fract_z
_atom_site_occupancy
Sr1 Sr 0.248 0.030 0.250 1
Zr1 Zr 0.000 0.000 0.500 1
Mo1 Mo 0.500 0.000 0.000 1
O1 O 0.182 0.207 0.966 1
O2 O 0.261 0.716 0.967 1
O3 O 0.313 0.017 0.748 1
```